No. 1
Entry from the Alexandria database: a relaxed structure of Nd2InGe3Ir4 (PBE).

Summary:
- Density: 11.9 g/cm³
- Energy of formation: -0.666 eV/atom
- M_tot: 0.000 μB per atom

Unit cell a=4.267 b=4.267 c=10.656 alpha=90.00 beta=90.00 gamma=90.00
Fractional coordinates of all 10 atoms:
Nd 0.000 0.500 0.244
Nd 0.500 0.000 0.756
In 0.000 0.000 0.500
Ge 0.000 0.500 0.874
Ge 0.500 0.000 0.126
Ge 0.500 0.500 0.500
Ir 0.000 0.000 0.000
Ir 0.000 0.500 0.646
Ir 0.500 0.000 0.354
Ir 0.500 0.500 0.000

=====

No. 2
Entry from the Alexandria database: a relaxed structure of InNi2GeIr (PBE).

Summary:
- Density: 9.5 g/cm³
- Energy of formation: 0.436 eV/atom
- M_tot: 0.000 μB per atom

Unit cell a=4.330 b=4.330 c=4.626 alpha=90.00 beta=90.00 gamma=90.00
Fractional coordinates of all 5 atoms:
In 0.000 0.000 0.000
Ni 0.000 0.500 0.500
Ni 0.500 0.000 0.500
Ge 0.500 0.500 0.500
Ir 0.500 0.500 0.000

=====

No. 3
Entry from the Alexandria database: a relaxed structure of In7GeIrO8 (PBE).

Summary:
- Formation energy from raw total energies: -1.320 eV per atom
- Density: 7.3 g/cm³
- M_tot: 0.000 μB per atom

Unit cell a=7.283 b=7.283 c=7.283 alpha=60.00 beta=60.00 gamma=60.00
Fractional coordinates of all 17 atoms:
In 0.000 0.000 0.000
In 0.000 0.000 0.500
In 0.000 0.500 0.000
In 0.000 0.500 0.500
In 0.500 0.000 0.000
In 0.500 0.000 0.500
In 0.500 0.500 0.000
Ge 0.500 0.500 0.500
Ir 0.250 0.250 0.250
O 0.197 0.601 0.601
O 0.361 0.880 0.880
O 0.601 0.197 0.601
O 0.601 0.601 0.197
O 0.601 0.601 0.601
O 0.880 0.361 0.880
O 0.880 0.880 0.361
O 0.880 0.880 0.880

=====

No. 4
Entry from the Alexandria database: a relaxed structure of Pa2InGe3Ir4 (PBE).

Summary:
- Density: 13.9 g/cm³
- Energy of formation: -0.594 eV/atom
- M_tot: 0.000 μB per atom

Unit cell a=4.073 b=4.073 c=11.279 alpha=90.00 beta=90.00 gamma=90.00
Fractional coordinates of all 10 atoms:
Pa 0.000 0.500 0.236
Pa 0.500 0.000 0.764
In 0.000 0.000 0.500
Ge 0.000 0.500 0.875
Ge 0.500 0.000 0.125
Ge 0.500 0.500 0.500
Ir 0.000 0.000 0.000
Ir 0.000 0.500 0.663
Ir 0.500 0.000 0.337
Ir 0.500 0.500 0.000

=====

No. 5
Entry from the Alexandria database: a relaxed structure of Pm2InGe4Ir3 (PBE).

Summary:
- Density: 10.8 g/cm³
- Energy of formation: -0.622 eV/atom
- M_tot: 0.000 μB per atom

Unit cell a=4.313 b=4.313 c=10.516 alpha=90.00 beta=90.00 gamma=90.00
Fractional coordinates of all 10 atoms:
Pm 0.000 0.500 0.235
Pm 0.500 0.000 0.765
In 0.000 0.000 0.500
Ge 0.000 0.000 0.000
Ge 0.000 0.500 0.652
Ge 0.500 0.000 0.348
Ge 0.500 0.500 0.000
Ir 0.000 0.500 0.882
Ir 0.500 0.000 0.118
Ir 0.500 0.500 0.500

=====

No. 6
Entry from the Alexandria database: a relaxed structure of Pr2InGe3Ir4 (PBE).

Summary:
- Density: 11.8 g/cm³
- Energy of formation: -0.662 eV/atom
- M_tot: 0.000 μB per atom

Unit cell a=4.284 b=4.284 c=10.651 alpha=90.00 beta=90.00 gamma=90.00
Fractional coordinates of all 10 atoms:
Pr 0.000 0.500 0.245
Pr 0.500 0.000 0.755
In 0.000 0.000 0.500
Ge 0.000 0.500 0.875
Ge 0.500 0.000 0.125
Ge 0.500 0.500 0.500
Ir 0.000 0.000 0.000
Ir 0.000 0.500 0.646
Ir 0.500 0.000 0.354
Ir 0.500 0.500 0.000

=====

No. 7
Entry from the Alexandria database: a relaxed structure of Pr2InGe4Ir3 (PBE).

Summary:
- Density: 10.6 g/cm³
- Energy of formation: -0.626 eV/atom
- M_tot: 0.000 μB per atom

Unit cell a=4.348 b=4.348 c=10.506 alpha=90.00 beta=90.00 gamma=90.00
Fractional coordinates of all 10 atoms:
Pr 0.000 0.500 0.235
Pr 0.500 0.000 0.765
In 0.000 0.000 0.500
Ge 0.000 0.000 0.000
Ge 0.000 0.500 0.652
Ge 0.500 0.000 0.348
Ge 0.500 0.500 0.000
Ir 0.000 0.500 0.883
Ir 0.500 0.000 0.117
Ir 0.500 0.500 0.500

=====

No. 8
Entry from the Alexandria database: a relaxed structure of Pu2InGe3Ir4 (PBE).

Summary:
- Density: 13.9 g/cm³
- Energy of formation: -0.469 eV/atom
- M_tot: 1.028 μB per atom

Unit cell a=4.162 b=4.162 c=10.977 alpha=90.00 beta=90.00 gamma=90.00
Fractional coordinates of all 10 atoms:
Pu 0.000 0.500 0.242
Pu 0.500 0.000 0.758
In 0.000 0.000 0.500
Ge 0.000 0.500 0.875
Ge 0.500 0.000 0.125
Ge 0.500 0.500 0.500
Ir 0.000 0.000 0.000
Ir 0.000 0.500 0.653
Ir 0.500 0.000 0.347
Ir 0.500 0.500 0.000

=====

No. 9
Entry from the Alexandria database: a relaxed structure of RbIn2GeIr (PBE).

Summary:
- Density: 7.0 g/cm³
- Energy of formation: 0.006 eV/atom
- M_tot: 0.000 μB per atom

Unit cell a=5.308 b=5.308 c=4.894 alpha=90.00 beta=90.00 gamma=90.00
Fractional coordinates of all 5 atoms:
Rb 0.000 0.000 0.000
In 0.000 0.500 0.500
In 0.500 0.000 0.500
Ge 0.500 0.500 0.000
Ir 0.500 0.500 0.500

=====

No. 10
Entry from the Alexandria database: a relaxed structure of Sm2InGe3Ir4 (PBE).

Summary:
- Density: 12.1 g/cm³
- Energy of formation: -0.666 eV/atom
- M_tot: 0.000 μB per atom

Unit cell a=4.236 b=4.236 c=10.684 alpha=90.00 beta=90.00 gamma=90.00
Fractional coordinates of all 10 atoms:
Sm 0.000 0.500 0.243
Sm 0.500 0.000 0.757
In 0.000 0.000 0.500
Ge 0.000 0.500 0.874
Ge 0.500 0.000 0.126
Ge 0.500 0.500 0.500
Ir 0.000 0.000 0.000
Ir 0.000 0.500 0.647
Ir 0.500 0.000 0.353
Ir 0.500 0.500 0.000

=====

No. 11
Entry from the Alexandria database: a relaxed structure of SrInGeIr (PBE).

Summary:
- Density: 7.9 g/cm³
- Energy of formation: -0.426 eV/atom
- M_tot: 0.000 μB per atom

Unit cell a=6.594 b=6.594 c=6.594 alpha=38.24 beta=38.24 gamma=38.24
Fractional coordinates of all 4 atoms:
Sr 0.000 0.000 0.000
In 0.795 0.795 0.795
Ge 0.556 0.556 0.556
Ir 0.203 0.203 0.203

=====

No. 12
Entry from the Alexandria database: a relaxed structure of Sr2InGe4Ir3 (PBE).

Summary:
- Density: 9.4 g/cm³
- Energy of formation: -0.458 eV/atom
- M_tot: 0.000 μB per atom

Unit cell a=4.379 b=4.379 c=10.676 alpha=90.00 beta=90.00 gamma=90.00
Fractional coordinates of all 10 atoms:
Sr 0.000 0.500 0.239
Sr 0.500 0.000 0.761
In 0.000 0.000 0.500
Ge 0.000 0.000 0.000
Ge 0.000 0.500 0.650
Ge 0.500 0.000 0.350
Ge 0.500 0.500 0.000
Ir 0.000 0.500 0.883
Ir 0.500 0.000 0.117
Ir 0.500 0.500 0.500

=====

Repeat the tenth record exactly.
Entry from the Alexandria database: a relaxed structure of Sm2InGe3Ir4 (PBE).

Summary:
- Density: 12.1 g/cm³
- Energy of formation: -0.666 eV/atom
- M_tot: 0.000 μB per atom

Unit cell a=4.236 b=4.236 c=10.684 alpha=90.00 beta=90.00 gamma=90.00
Fractional coordinates of all 10 atoms:
Sm 0.000 0.500 0.243
Sm 0.500 0.000 0.757
In 0.000 0.000 0.500
Ge 0.000 0.500 0.874
Ge 0.500 0.000 0.126
Ge 0.500 0.500 0.500
Ir 0.000 0.000 0.000
Ir 0.000 0.500 0.647
Ir 0.500 0.000 0.353
Ir 0.500 0.500 0.000